Computed, not measured: LaTb2Pm12 after structural relaxation at the PBE level of DFT.

Cell lengths 6.808, 6.808, 25.440 Å; angles 83.48, 83.48, 115.61 degrees
Fractional positions:
Pm: 0.946 0.944 0.073
Pm: 0.320 0.339 0.556
Pm: 0.099 0.599 0.865
Pm: 0.554 0.556 0.927
Pm: 0.607 0.107 0.857
Pm: 0.444 0.446 0.073
Pm: 0.906 0.892 0.798
Pm: 0.108 0.094 0.202
Pm: 0.696 0.196 0.424
Pm: 0.000 0.012 0.329
Pm: 0.839 0.820 0.556
Pm: 0.500 0.488 0.671
Pm: 0.804 0.304 0.576
Pm: 0.988 0.000 0.671
Pm: 0.324 0.824 0.576
Pm: 0.176 0.676 0.424
Pm: 0.893 0.393 0.143
Pm: 0.594 0.608 0.202
Pm: 0.180 0.161 0.444
Pm: 0.392 0.406 0.798
Pm: 0.056 0.054 0.927
Pm: 0.661 0.680 0.444
Pm: 0.401 0.901 0.135
Pm: 0.512 0.500 0.329
La: 0.506 0.006 0.997
La: 0.994 0.494 0.003
Tb: 0.958 0.458 0.726
Tb: 0.053 0.553 0.273
Tb: 0.447 0.947 0.727
Tb: 0.542 0.042 0.274

## Properties
- calculated formation energy (meV per atom) = 103
- space-group type = C2/m, No. 12
- density (g/cm³) = 7.0